(1)
Computed, not measured: a relaxed NbPbIBr2 crystal at the PBE level of DFT.

DOS at the Fermi energy   3.7 states/eV/cell
Raw formation energy   -0.041 eV per atom
DFT total energy   -18.9 eV per cell
V   33.1 A^3/atom

a = 5.342 Å, b = 5.342 Å, c = 5.806 Å
α = 90.00°, β = 90.00°, γ = 90.00°
Space group P4/mmm (No. 123)
Asymmetric unit:
Nb 0.000 0.000 0.000 (multiplicity 1)
Pb 0.500 0.500 0.500 (multiplicity 1)
I 0.000 0.000 0.500 (multiplicity 1)
Br 0.000 0.500 0.000 (multiplicity 2)

---

(2)
Computed, not measured: a relaxed TmPuZnTc crystal at the PBE level of DFT.

DOS at the Fermi energy   38.1 states/eV/cell
DFT total energy   -122.3 eV per cell
V   20.5 A^3/atom
Calculated formation energy   -0.128 eV/f.u.

a = 6.897 Å, b = 6.897 Å, c = 6.897 Å
α = 90.00°, β = 90.00°, γ = 90.00°
Space group F-43m (No. 216)
Asymmetric unit:
Tm 0.000 0.000 0.000 (multiplicity 4)
Pu 0.000 0.000 0.500 (multiplicity 4)
Zn 0.250 0.250 0.750 (multiplicity 4)
Tc 0.250 0.250 0.250 (multiplicity 4)

---

(3)
Computed, not measured: a relaxed ThHg3As2Br6 crystal at the PBE level of DFT.

DOS at the Fermi energy   5.4 states/eV/cell
Raw formation energy   -0.692 eV per atom
DFT total energy   -71.9 eV per cell
V   35.4 A^3/atom

a = 16.251 Å, b = 8.283 Å, c = 6.946 Å
α = 90.00°, β = 114.63°, γ = 90.00°
Space group C2/m (No. 12)
Asymmetric unit:
Th 0.000 0.000 0.000 (multiplicity 2)
Hg 0.000 0.500 0.500 (multiplicity 2)
Hg 0.250 0.250 0.500 (multiplicity 4)
As 0.170 0.500 0.570 (multiplicity 4)
Br 0.098 0.000 0.452 (multiplicity 4)
Br 0.117 0.248 0.975 (multiplicity 8)

---

(4)
Computed, not measured: a relaxed Ba2Cd9Ag6 crystal at the PBE level of DFT.

DOS at the Fermi energy   7.1 states/eV/cell
DFT total energy   -31.1 eV per cell
V   26.5 A^3/atom
Calculated formation energy   -1.879 eV/f.u.

a = 6.0485 Å, b = 6.0485 Å, c = 14.2413 Å
α = 90.00°, β = 90.00°, γ = 120.00°
Space group P6/mmm (No. 191)
Asymmetric unit:
Ba 0.0000 0.0000 0.1686 (multiplicity 2)
Cd 0.0000 0.5000 0.0000 (multiplicity 3)
Cd 0.0000 0.5000 0.3387 (multiplicity 6)
Ag 0.3333 0.6667 0.1705 (multiplicity 4)
Ag 0.3333 0.6667 0.5000 (multiplicity 2)

---

(5)
Computed, not measured: a relaxed LiUI4 crystal at the PBE level of DFT.

DOS at the Fermi energy   9.4 states/eV/cell
Raw formation energy   -0.923 eV per atom
DFT total energy   -49.9 eV per cell
V   44.0 A^3/atom

a = 15.664 Å, b = 4.404 Å, c = 7.671 Å
α = 90.00°, β = 92.91°, γ = 90.00°
Space group C2/m (No. 12)
Asymmetric unit:
Li 0.000 0.000 0.000 (multiplicity 2)
U 0.000 0.500 0.500 (multiplicity 2)
I 0.106 0.500 0.851 (multiplicity 4)
I 0.119 0.000 0.346 (multiplicity 4)

---

(6)
Computed, not measured: a relaxed GdLuOsAu crystal at the PBE level of DFT.

DOS at the Fermi energy   7.8 states/eV/cell
DFT total energy   -140.2 eV per cell
V   21.0 A^3/atom
Calculated formation energy   -1.929 eV/f.u.

a = 6.953 Å, b = 6.953 Å, c = 6.953 Å
α = 90.00°, β = 90.00°, γ = 90.00°
Space group F-43m (No. 216)
Asymmetric unit:
Gd 0.000 0.000 0.000 (multiplicity 4)
Lu 0.000 0.000 0.500 (multiplicity 4)
Os 0.250 0.250 0.250 (multiplicity 4)
Au 0.250 0.250 0.750 (multiplicity 4)

---

(7)
Computed, not measured: a relaxed Na3CdF crystal at the PBE level of DFT.

DOS at the Fermi energy   4.8 states/eV/cell
Raw formation energy   -0.257 eV per atom
DFT total energy   -8.0 eV per cell
V   39.1 A^3/atom

a = 5.806 Å, b = 5.806 Å, c = 5.806 Å
α = 90.00°, β = 90.00°, γ = 90.00°
Space group Pm-3m (No. 221)
Asymmetric unit:
Na 0.000 0.000 0.500 (multiplicity 3)
Cd 0.000 0.000 0.000 (multiplicity 1)
F 0.500 0.500 0.500 (multiplicity 1)

---

(8)
Computed, not measured: a relaxed BaLaZn3 crystal at the PBE level of DFT.

DOS at the Fermi energy   3.8 states/eV/cell
DFT total energy   -7.6 eV per cell
V   34.4 A^3/atom
Calculated formation energy   3.088 eV/f.u.

a = 5.561 Å, b = 5.561 Å, c = 5.561 Å
α = 90.00°, β = 90.00°, γ = 90.00°
Space group Pm-3m (No. 221)
Asymmetric unit:
Ba 0.000 0.000 0.000 (multiplicity 1)
La 0.500 0.500 0.500 (multiplicity 1)
Zn 0.000 0.000 0.500 (multiplicity 3)

---

> Look up the DOS at the Fermi energy of the sixth one.

7.8 states/eV/cell

---

> DOS at the Fermi energy of number 1 (NbPbIBr2)?

3.7 states/eV/cell

---

> V of number 8 (BaLaZn3)?

34.4 A^3/atom

---

> Among the records above, which one has the lowest DFT total energy?

GdLuOsAu